Entry 1:
Pm2ErPu: optimized geometry, PBE-GGA.

Computed properties:
DFT total energy	-6.989	eV per atom
relative energy among the computed polymorphs	0	meV/atom
crystal system	tetragonal
energy relative to the elements	0.110	eV/atom
total moment	6.09	μB/f.u.

Geometry as POSCAR:
```
Pm2ErPu
1.0
-1.5443 -2.6176 -1.8206
3.1554 -0.9639 -1.2906
1.3080 -6.2342 7.8537
Er Pm Pu
1 2 1
Direct
0.5000 0.5000 0.5000
0.0000 0.0000 0.7530
0.0000 0.0000 0.2470
0.5000 0.5000 0.0000
```


Entry 2:
Pm2ErPu: optimized geometry, PBE-GGA.

Computed properties:
DFT total energy	-6.889	eV per atom
relative energy among the computed polymorphs	100	meV/atom
crystal system	cubic
energy relative to the elements	0.210	eV/atom
total moment	7.51	μB/f.u.

Geometry as POSCAR:
```
Pm2ErPu
1.0
5.6521 0.0000 0.0000
2.8260 4.8948 0.0000
2.8260 1.6316 4.6149
Er Pm Pu
1 2 1
Direct
0.5000 0.5000 0.5000
0.2500 0.2500 0.2500
0.7500 0.7500 0.7500
0.0000 0.0000 0.0000
```


Entry 3:
PmErPu2: optimized geometry, PBE-GGA.

Computed properties:
DFT total energy	-9.304	eV per atom
relative energy among the computed polymorphs	0	meV/atom
crystal system	tetragonal
energy relative to the elements	0.191	eV/atom
total moment	12.77	μB/f.u.

Geometry as POSCAR:
```
PmErPu2
1.0
-2.5518 -0.8815 -2.1031
-1.1004 -2.2884 2.2943
-5.9095 7.0627 4.2101
Er Pm Pu
1 1 2
Direct
0.5000 0.5000 0.5000
0.5000 0.5000 0.0000
0.0000 0.0000 0.7449
0.0000 0.0000 0.2551
```